# 1
Density functional theory data (PBE) for Hf4FeNiN2 after structural relaxation.

Cell lengths 3.174, 3.174, 13.087 Å; angles 90.00, 90.00, 120.00 degrees
Element x y z (fractional)
Hf: 0.000 0.000 0.147
Hf: 0.000 0.000 0.853
Hf: 0.333 0.667 0.352
Hf: 0.333 0.667 0.648
Fe: 0.000 0.000 0.500
Ni: 0.333 0.667 0.000
N: 0.667 0.333 0.248
N: 0.667 0.333 0.752

Output
calculated volume = 114 Å³ per cell
calculated total energy = -9.6749 eV/atom

# 2
Density functional theory data (PBE) for Ho2GaSnPt4 after structural relaxation.

Cell lengths 4.470, 4.470, 9.098 Å; angles 90.00, 90.00, 120.00 degrees
Element x y z (fractional)
Ho: 0.333 0.667 0.244
Ho: 0.667 0.333 0.756
Ga: 0.000 0.000 0.000
Sn: 0.000 0.000 0.500
Pt: 0.333 0.667 0.595
Pt: 0.333 0.667 0.917
Pt: 0.667 0.333 0.083
Pt: 0.667 0.333 0.405

Output
calculated volume = 157 Å³ per cell
calculated total energy = -6.0818 eV/atom

# 3
Density functional theory data (PBE) for ScAsPt2 after structural relaxation.

Cell lengths 4.568, 4.568, 4.568 Å; angles 60.00, 60.00, 60.00 degrees
Element x y z (fractional)
Sc: 0.000 0.000 0.000
As: 0.750 0.750 0.750
Pt: 0.250 0.250 0.250
Pt: 0.500 0.500 0.500

Output
calculated volume = 67 Å³ per cell
calculated total energy = -6.3810 eV/atom